Here is a geometry-optimized SrReMo2 structure from Alexandria. Energies are from PBE-GGA.

Output
**Crystal system**: monoclinic
**Polymorph energy (0 for the lowest one)**: 34 meV per atom
**Formation enthalpy at 0 K**: 0.709 eV/atom

abc: 4.252 2.918 6.939
angles: 78.35 90.00 90.00
Positions (direct):
Mo 0.000 0.991 0.084
Mo 0.500 0.244 0.256
Re 0.000 0.502 0.416
Sr 0.500 0.762 0.744

***

Here is a geometry-optimized LaPu2In structure from Alexandria. Energies are from PBE-GGA.

Output
**Crystal system**: tetragonal
**Formation enthalpy at 0 K**: -0.098 eV/atom

abc: 5.110 4.708 4.708
angles: 90.00 90.00 90.00
Positions (direct):
La 0.500 0.000 0.000
In 0.500 0.500 0.500
Pu 0.000 0.000 0.500
Pu 0.000 0.500 0.000

***

Here is a geometry-optimized MnV2Re4 structure from Alexandria. Energies are from PBE-GGA.

Output
**Crystal system**: tetragonal
**Formation enthalpy at 0 K**: 1.314 eV/atom

abc: 4.366 4.366 6.894
angles: 71.54 71.54 90.00
Positions (direct):
Re 0.188 0.188 0.624
Re 0.812 0.812 0.376
Re 0.000 0.500 0.000
Re 0.500 0.000 0.000
Mn 0.000 0.000 0.000
V 0.375 0.375 0.250
V 0.625 0.625 0.750

***

Here is a geometry-optimized ZrTaNb2Ag structure from Alexandria. Energies are from PBE-GGA.

Output
**Crystal system**: tetragonal
**Formation enthalpy at 0 K**: 1.801 eV/atom

abc: 4.860 4.958 4.860
angles: 90.00 90.00 90.00
Positions (direct):
Nb 0.000 0.000 0.500
Nb 0.500 0.000 0.000
Zr 0.000 0.000 0.000
Ag 0.000 0.500 0.000
Ta 0.500 0.500 0.500

***

Here is a geometry-optimized NbHPdRh2 structure from Alexandria. Energies are from PBE-GGA.

Output
**Crystal system**: tetragonal
**Polymorph energy (0 for the lowest one)**: 0 meV per atom

abc: 4.014 4.014 3.909
angles: 90.00 90.00 90.00
Positions (direct):
H 0.000 0.000 0.000
Nb 0.500 0.500 0.500
Rh 0.000 0.500 0.000
Rh 0.500 0.000 0.000
Pd 0.000 0.000 0.500

***

Here is a geometry-optimized NaSm6Tl5 structure from Alexandria. Energies are from PBE-GGA.

Output
**Crystal system**: monoclinic
**Polymorph energy (0 for the lowest one)**: 124 meV per atom
**Formation enthalpy at 0 K**: -0.169 eV/atom

abc: 10.319 6.564 6.523
angles: 59.79 84.20 78.40
Positions (direct):
Na 0.000 0.000 0.000
Sm 0.738 0.090 0.349
Sm 0.262 0.561 0.349
Sm 0.246 0.269 0.000
Sm 0.754 0.731 0.000
Sm 0.738 0.439 0.651
Sm 0.262 0.910 0.651
Tl 0.500 0.153 0.694
Tl 0.000 0.319 0.362
Tl 0.500 0.500 0.000
Tl 0.000 0.681 0.638
Tl 0.500 0.847 0.306

***

Here is a geometry-optimized ZrBe2Os structure from Alexandria. Energies are from PBE-GGA.

Output
**Crystal system**: cubic
**Polymorph energy (0 for the lowest one)**: 146 meV per atom
**Formation enthalpy at 0 K**: -0.198 eV/atom

abc: 4.187 4.187 4.187
angles: 60.00 60.00 60.00
Positions (direct):
Be 0.250 0.250 0.250
Be 0.750 0.750 0.750
Os 0.500 0.500 0.500
Zr 0.000 0.000 0.000

***

Here is a geometry-optimized BeMoPd structure from Alexandria. Energies are from PBE-GGA.

Output
**Crystal system**: monoclinic
**Polymorph energy (0 for the lowest one)**: 154 meV per atom
**Formation enthalpy at 0 K**: -0.086 eV/atom

abc: 3.793 2.755 8.155
angles: 106.76 90.01 90.00
Positions (direct):
Be 0.643 0.261 0.796
Be 0.643 0.518 0.511
Mo 0.644 0.709 0.121
Mo 0.144 0.877 0.936
Pd 0.144 0.360 0.310
Pd 0.143 0.115 0.620